1.
Here is an optimized crystal structure of KAsAuBr2 from Alexandria. Energies are from GGA-PBE.

Unit cell a=5.9991 b=5.9991 c=6.3238 alpha=90.00 beta=90.00 gamma=90.00
Site moments in Bohr magnetons follow the coordinates.
Atoms (fractional coordinates):
As1 0.0000 0.0000 0.5000  1.15
K1 0.0000 0.0000 0.0000  0.02
Au1 0.5000 0.5000 0.5000  -0.05
Br1 0.5000 0.0000 0.0000  0.22
Br2 0.0000 0.5000 0.0000  0.22

Values from the calculation:
As for the raw formation energy: 631 meV per atom. The distance to the lowest polymorph of the same formula comes out at 4.686 eV/f.u. The density is 3.435 g cm⁻³. The density of states at the Fermi level comes out at 4.6 states/eV/f.u.

2.
Here is an optimized crystal structure of K2CdRh from Alexandria. Energies are from GGA-PBE.

Unit cell a=11.6078 b=11.6078 c=8.6163 alpha=47.65 beta=47.65 gamma=90.00
Atoms (fractional coordinates):
K1 0.4517 0.1250 0.2500
Rh1 0.2500 0.7500 0.5000
Rh2 0.5000 0.5000 0.0000
K2 0.3750 0.5483 0.7500
K3 0.8750 0.7017 0.7500
Cd1 0.0000 0.0000 0.0000
K4 0.2983 0.6250 0.2500
Cd2 0.7500 0.2500 0.5000

Values from the calculation:
For the calculated formation energy, the calculation gives 0.36 eV/atom. The density is 2.760 g cm⁻³. The density of states at the Fermi level comes out at 3.2 states/eV/f.u.

3.
Here is an optimized crystal structure of YFeRu2 from Alexandria. Energies are from GGA-PBE.

Unit cell a=8.3826 b=8.3826 c=8.3826 alpha=21.28 beta=21.28 gamma=21.28
Site moments in Bohr magnetons follow the coordinates.
Atoms (fractional coordinates):
Fe1 0.7500 0.7500 0.7500  2.96
Ru1 0.0094 0.0094 0.0094  0.52
Ru2 0.4906 0.4906 0.4906  0.52
Y1 0.2500 0.2500 0.2500  -0.07

Values from the calculation:
The distance to the lowest polymorph of the same formula comes out at 1.381 eV/f.u. For the calculated formation energy, the calculation gives 0.42 eV/atom. The density is 8.478 g cm⁻³. The density of states at the Fermi level comes out at 4.4 states/eV/f.u.

Asked for energy across the records above, the calculation gives -1.84, -2.26, -7.95 eV/atom in order.